First-principles (PBE) data for an optimized crystal structure of CaMgW2, as listed in Alexandria via LeMat-Bulk. Values from VASP.

## Properties
Space group: I4/mmm, No. 139
Total DFT energy (no corrections) (eV per atom): -6.572

```
&SYSTEM
  ibrav = 0, nat = 4, ntyp = 3
/
ATOMIC_SPECIES
Ca 40.08 Ca.upf
Mg 24.30 Mg.upf
W 183.84 W.upf
ATOMIC_POSITIONS angstrom
Ca 0.000 0.000 0.000
Mg 0.000 0.000 4.941
W 1.973 0.000 2.470
W 0.000 1.973 2.470
CELL_PARAMETERS angstrom
-1.973 1.973 4.941
1.973 -1.973 4.941
1.973 1.973 -4.941
```

***

First-principles (PBE) data for an optimized crystal structure of TbBeGaCu6, as listed in Alexandria via LeMat-Bulk. Values from VASP.

## Properties
Space group: Imma, No. 74
Total DFT energy (no corrections) (eV per atom): -4.061

```
&SYSTEM
  ibrav = 0, nat = 18, ntyp = 4
/
ATOMIC_SPECIES
Tb 158.93 Tb.upf
Be 9.01 Be.upf
Ga 69.72 Ga.upf
Cu 63.55 Cu.upf
ATOMIC_POSITIONS angstrom
Tb 2.541 -1.937 6.736
Tb 0.000 5.812 0.000
Be -1.270 1.937 3.368
Be 1.270 1.937 3.368
Ga 2.541 0.000 0.000
Ga 0.000 0.000 6.736
Cu 2.541 -1.937 3.408
Cu 1.233 -0.081 2.138
Cu 3.849 -0.081 2.138
Cu 1.233 3.794 -2.138
Cu 1.308 -0.081 4.598
Cu 2.541 1.937 1.521
Cu 0.000 1.937 5.215
Cu 1.233 3.955 2.138
Cu 1.308 0.081 8.875
Cu -1.308 3.955 4.598
Cu 1.308 3.955 4.598
Cu 0.000 5.812 3.328
CELL_PARAMETERS angstrom
-2.541 3.875 6.736
2.541 -3.875 6.736
2.541 3.875 -6.736
```

***

First-principles (PBE) data for an optimized crystal structure of IrAu2Cl, as listed in Alexandria via LeMat-Bulk. Values from VASP.

## Properties
Raw formation energy (eV/atom): 0.433
Space group: R3m, No. 160
Total DFT energy (no corrections) (eV per atom): -3.883

```
&SYSTEM
  ibrav = 0, nat = 4, ntyp = 3
/
ATOMIC_SPECIES
Ir 192.22 Ir.upf
Au 196.97 Au.upf
Cl 35.45 Cl.upf
ATOMIC_POSITIONS angstrom
Ir 0.000 0.000 0.000
Au 0.000 0.000 13.782
Au 0.000 0.000 20.691
Cl 0.000 0.000 7.408
CELL_PARAMETERS angstrom
1.499 0.866 9.252
-1.499 0.866 9.252
0.000 -1.731 9.252
```

***

First-principles (PBE) data for an optimized crystal structure of CaNi2Hg, as listed in Alexandria via LeMat-Bulk. Values from VASP.

## Properties
Space group: F-43m, No. 216
Total DFT energy (no corrections) (eV per atom): -3.312

```
&SYSTEM
  ibrav = 0, nat = 4, ntyp = 3
/
ATOMIC_SPECIES
Ca 40.08 Ca.upf
Ni 58.69 Ni.upf
Hg 200.59 Hg.upf
ATOMIC_POSITIONS angstrom
Ca 0.000 0.000 0.000
Ni 1.643 1.643 1.643
Ni 3.287 3.287 3.287
Hg 4.930 4.930 4.930
CELL_PARAMETERS angstrom
0.000 3.287 3.287
3.287 0.000 3.287
3.287 3.287 0.000
```

***

no.,total magnetic moment (μB per atom)
1,0.000
2,0.000
3,0.132
4,0.000